No. 1
Below is an optimized crystal structure of TiTlRhSe3, with properties calculated at the PBE level.

a = 8.260 Å, b = 3.698 Å, c = 10.009 Å
α = 90.00°, β = 112.40°, γ = 90.00°
Space group P2_1/m (No. 11)
Asymmetric unit:
Ti1 0.204 0.250 0.164 x2
Tl1 0.237 0.750 0.730 x2
Rh1 0.418 0.750 0.391 x2
Se1 0.041 0.250 0.876 x2
Se2 0.250 0.250 0.430 x2
Se3 0.403 0.750 0.135 x2

Summary:
VASP energy   -5.385 eV per atom

No. 2
Below is an optimized crystal structure of Be2TeRu, with properties calculated at the PBE level.

a = 5.373 Å, b = 5.312 Å, c = 4.590 Å
α = 90.00°, β = 123.54°, γ = 90.00°
Space group C2/m (No. 12)
Asymmetric unit:
Be1 0.000 0.241 0.000 x4
Te1 0.000 0.500 0.500 x2
Ru1 0.000 0.000 0.500 x2

Summary:
VASP energy   -4.622 eV per atom

No. 3
Below is an optimized crystal structure of FeNi2Ir2Rh2, with properties calculated at the PBE level.

a = 2.641 Å, b = 20.692 Å, c = 3.731 Å
α = 90.00°, β = 90.00°, γ = 90.00°
Space group Cmmm (No. 65)
Asymmetric unit:
Fe1 0.000 0.000 0.000 x2
Ni1 0.000 0.361 0.000 x4
Ir1 0.000 0.197 0.500 x4
Rh1 0.000 0.073 0.500 x4

Summary:
Energy relative to the elements   0.361 eV per atom
VASP energy   -7.132 eV per atom